No. 1
! GGA-PBE Sc3IrC4, relaxed; values from VASP
! **Total magnetic moment**: 0.0 μB per formula unit
&SYSTEM
  ibrav = 0, nat = 8, ntyp = 3
/
ATOMIC_SPECIES
C 12.01 C.upf
Sc 44.96 Sc.upf
Ir 192.22 Ir.upf
CELL_PARAMETERS angstrom
-2.053 5.120 3.850
-5.942 3.139 0.290
3.648 -5.645 0.279
ATOMIC_POSITIONS crystal
C 0.790 0.128 0.663
C 0.535 0.872 0.663
C 0.210 0.872 0.337
C 0.465 0.128 0.337
Sc 0.809 0.309 0.500
Sc 0.500 0.500 0.000
Sc 0.191 0.691 0.500
Ir 0.000 0.000 0.000



No. 2
! GGA-PBE MgScFeSn, relaxed; values from VASP
! **Energy above the most stable polymorph in this dataset**: 0 meV per atom
! **Total magnetic moment**: 1.8 μB per formula unit
&SYSTEM
  ibrav = 0, nat = 4, ntyp = 4
/
ATOMIC_SPECIES
Mg 24.30 Mg.upf
Sn 118.71 Sn.upf
Sc 44.96 Sc.upf
Fe 55.84 Fe.upf
CELL_PARAMETERS angstrom
-3.648 -0.789 2.935
-4.137 -1.568 -1.724
-1.412 -4.445 0.891
ATOMIC_POSITIONS crystal
Mg 0.000 0.000 0.000
Sn 0.250 0.250 0.250
Sc 0.500 0.500 0.500
Fe 0.750 0.750 0.750



No. 3
! GGA-PBE PrAl4, relaxed; values from VASP
! **Total magnetic moment**: 0.0 μB per formula unit
&SYSTEM
  ibrav = 0, nat = 5, ntyp = 2
/
ATOMIC_SPECIES
Al 26.98 Al.upf
Pr 140.91 Pr.upf
CELL_PARAMETERS angstrom
-4.713 -2.296 3.747
-6.082 2.121 -0.187
4.736 -1.995 -3.887
ATOMIC_POSITIONS crystal
Al 0.750 0.250 0.500
Al 0.250 0.750 0.500
Al 0.612 0.612 0.000
Al 0.388 0.388 0.000
Pr 0.000 0.000 0.000



No. 4
Here is a geometry-optimized AgBi2ClO3 structure from the Open Quantum Materials Database. Energies are from GGA-PBE. Values from VASP.

Structure (Quantum ESPRESSO input):
```
&SYSTEM
  ibrav = 0, nat = 14, ntyp = 4
/
ATOMIC_SPECIES
Bi 208.98 Bi.upf
O 16.00 O.upf
Cl 35.45 Cl.upf
Ag 107.87 Ag.upf
CELL_PARAMETERS angstrom
6.971 0.000 0.000
0.000 3.626 0.000
-0.962 0.000 9.648
ATOMIC_POSITIONS crystal
Bi 0.677 0.250 0.410
Bi 0.937 0.750 0.148
Bi 0.323 0.750 0.590
Bi 0.063 0.250 0.852
O 0.711 0.250 0.167
O 0.145 0.250 0.070
O 0.506 0.250 0.628
O 0.289 0.750 0.833
O 0.494 0.750 0.372
O 0.855 0.750 0.930
Cl 0.119 0.250 0.384
Cl 0.881 0.750 0.616
Ag 0.582 0.250 0.894
Ag 0.418 0.750 0.106
```



| no. | electronic total energy (eV per atom) |
| --- | --- |
| 1 | -8.590 |
| 2 | -5.117 |
| 3 | -4.258 |
| 4 | -4.798 |